(1)
Below is a relaxed structure of TlOsO3, with properties calculated at the PBE-GGA level.

Structure (POSCAR):
```
TlOsO3
1.0
3.9567 0.0000 0.0000
0.0000 3.9567 0.0000
0.0000 0.0000 3.9567
O Tl Os
3 1 1
Cartesian
0.0000 1.9784 0.0000
0.0000 0.0000 1.9784
1.9784 0.0000 0.0000
1.9784 1.9784 1.9784
0.0000 0.0000 0.0000
```

Properties
* crystal system: cubic
* mass density: 11.9 g cm⁻³
* E_form (uncorrected): -0.711 eV per atom


(2)
Below is a relaxed structure of TlOsO2, with properties calculated at the PBE-GGA level.

Structure (POSCAR):
```
TlOsO2
1.0
2.8976 -2.9598 0.3345
2.6724 0.0586 3.1817
-0.2844 -2.8559 3.0052
Tl O Os
1 2 1
Cartesian
2.6428 -2.8785 3.2607
1.3214 -1.4393 1.6304
3.9642 -4.3178 4.8911
0.0000 0.0000 0.0000
```

Properties
* crystal system: cubic
* mass density: 14.0 g cm⁻³
* E_form (uncorrected): 0.660 eV per atom
* polymorph energy (0 for the lowest one): 1047 meV/atom


(3)
Below is a relaxed structure of TlOs3O, with properties calculated at the PBE-GGA level.

Structure (POSCAR):
```
TlOs3O
1.0
4.1971 0.0000 0.0000
0.0000 4.1971 0.0000
0.0000 0.0000 4.1971
Tl Os O
1 3 1
Cartesian
2.0985 2.0985 2.0985
2.0985 0.0000 0.0000
0.0000 0.0000 2.0985
0.0000 2.0985 0.0000
0.0000 0.0000 0.0000
```

Properties
* crystal system: cubic
* mass density: 17.8 g cm⁻³
* E_form (uncorrected): 1.198 eV per atom
* polymorph energy (0 for the lowest one): 0 meV/atom


(4)
Below is a relaxed structure of TlOs2O, with properties calculated at the PBE-GGA level.

Structure (POSCAR):
```
TlOs2O
1.0
0.5304 -3.7267 -2.3075
0.6755 -3.8223 2.1043
-3.1560 -3.0875 0.0368
Os Tl O
2 1 1
Cartesian
-0.4875 -2.6591 -0.0416
-1.4626 -7.9773 -0.1248
-0.9751 -5.3182 -0.0832
0.0000 0.0000 0.0000
```

Properties
* crystal system: cubic
* mass density: 16.4 g cm⁻³
* E_form (uncorrected): 1.620 eV per atom
* polymorph energy (0 for the lowest one): 879 meV/atom


(5)
Below is a relaxed structure of Tl2Os2O7, with properties calculated at the PBE-GGA level.

Structure (POSCAR):
```
Tl2Os2O7
1.0
6.4057 -0.0468 -0.0676
-0.7175 6.4948 -0.7700
-0.7175 -3.0017 5.8108
O Tl Os
7 2 2
Cartesian
4.5335 1.9125 2.7598
0.5341 4.0471 3.2017
0.4372 1.5338 2.2134
0.5341 1.5766 4.9137
0.0000 0.0000 0.0000
4.4366 1.8697 0.0595
4.4366 -0.6009 1.7715
2.4853 0.0232 3.6646
2.4853 3.4231 1.3086
-0.3773 2.6227 3.7848
5.3480 0.8235 1.1884
```

Properties
* crystal system: monoclinic
* mass density: 6.6 g cm⁻³
* E_form (uncorrected): -0.916 eV per atom
* polymorph energy (0 for the lowest one): 0 meV/atom


(6)
Below is a relaxed structure of Tl2OsO4, with properties calculated at the PBE-GGA level.

Structure (POSCAR):
```
Tl2OsO4
1.0
-0.8820 -6.1627 -1.5947
6.2483 -0.8516 -1.2384
-1.9001 2.4002 5.6403
O Tl Os
4 2 1
Cartesian
-0.6822 1.4600 4.6969
2.7125 -2.9771 2.9047
0.9530 0.1203 1.5074
2.9068 0.7457 3.6597
3.3837 -0.8048 1.6193
0.1044 -3.8339 1.2902
3.4684 -4.6037 2.7856
```

Properties
* crystal system: monoclinic
* mass density: 6.0 g cm⁻³
* E_form (uncorrected): -0.844 eV per atom
* polymorph energy (0 for the lowest one): 0 meV/atom


Please write out number 6 again, unchanged.
Below is a relaxed structure of Tl2OsO4, with properties calculated at the PBE-GGA level.

Structure (POSCAR):
```
Tl2OsO4
1.0
-0.8820 -6.1627 -1.5947
6.2483 -0.8516 -1.2384
-1.9001 2.4002 5.6403
O Tl Os
4 2 1
Cartesian
-0.6822 1.4600 4.6969
2.7125 -2.9771 2.9047
0.9530 0.1203 1.5074
2.9068 0.7457 3.6597
3.3837 -0.8048 1.6193
0.1044 -3.8339 1.2902
3.4684 -4.6037 2.7856
```

Properties
* crystal system: monoclinic
* mass density: 6.0 g cm⁻³
* E_form (uncorrected): -0.844 eV per atom
* polymorph energy (0 for the lowest one): 0 meV/atom